# 1
Computed, not measured: a relaxed CdWSeN2 crystal at the PBE-GGA level of DFT.

Output
As for the distance to the lowest polymorph of the same formula: 2285 meV/atom. The formation energy without anion corrections comes out at 2.50 eV per atom.

Cell lengths 4.040, 4.040, 5.164 Å; angles 90.00, 90.00, 90.00 degrees
Space group P4/mmm (No. 123)
Asymmetric unit:
Cd 0.000 0.000 0.000
W 0.500 0.500 0.500
Se 0.000 0.000 0.500
N 0.000 0.500 0.000


# 2
Computed, not measured: a relaxed Na3Cd2Br7 crystal at the PBE-GGA level of DFT.

Output
The formation energy without anion corrections comes out at -1.18 eV per atom.

Cell lengths 24.951, 7.280, 7.752 Å; angles 90.00, 90.00, 90.00 degrees
Space group Cmc2_1 (No. 36)
Asymmetric unit:
Na 0.000 0.223 0.000
Na 0.190 0.245 0.190
Cd 0.105 0.248 0.596
Br 0.000 0.386 0.641
Br 0.075 0.071 0.275
Br 0.134 0.438 0.900
Br 0.207 0.122 0.548


# 3
Computed, not measured: a relaxed Nd2Sm3ThS6 crystal at the PBE-GGA level of DFT.

Output
The formation energy without anion corrections comes out at -1.99 eV per atom.

Cell lengths 17.582, 4.031, 8.081 Å; angles 90.00, 103.50, 90.00 degrees
Space group C2/m (No. 12)
Asymmetric unit:
Nd 0.166 0.000 0.331
Sm 0.000 0.500 0.500
Sm 0.167 0.000 0.834
Th 0.000 0.500 0.000
S 0.002 0.000 0.748
S 0.166 0.500 0.586
S 0.168 0.500 0.080


# 4
Computed, not measured: a relaxed YRe3 crystal at the PBE-GGA level of DFT.

Output
As for the distance to the lowest polymorph of the same formula: 222 meV/atom. For the formation energy, the calculation gives 486 meV/atom.

Cell lengths 2.8580, 2.8580, 9.7077 Å; angles 90.00, 90.00, 120.00 degrees
Space group P-6m2 (No. 187)
Asymmetric unit:
Y 0.0000 0.0000 0.0000
Re 0.0000 0.0000 0.5000
Re 0.6667 0.3333 0.2782


# 5
Computed, not measured: a relaxed LaTa2Pb crystal at the PBE-GGA level of DFT.

Output
For the formation energy, the calculation gives 138 meV/atom.

Cell lengths 3.526, 3.538, 7.915 Å; angles 90.00, 90.00, 90.00 degrees
Space group Pmm2 (No. 25)
Asymmetric unit:
La 0.000 0.000 0.000
Ta 0.000 0.000 0.439
Ta 0.500 0.500 0.285
Pb 0.500 0.500 0.681


# 6
Computed, not measured: a relaxed NiRuS crystal at the PBE-GGA level of DFT.

Output
As for the distance to the lowest polymorph of the same formula: 62 meV/atom. The formation energy without anion corrections comes out at -0.09 eV per atom.

Cell lengths 4.230, 4.315, 5.506 Å; angles 71.79, 73.95, 62.60 degrees
Space group P-1 (No. 2)
Asymmetric unit:
Ni 0.205 0.195 0.408
Ru 0.209 0.199 0.906
S 0.271 0.733 0.746


# 7
Computed, not measured: a relaxed PmNdDy4 crystal at the PBE-GGA level of DFT.

Output
As for the distance to the lowest polymorph of the same formula: 265 meV/atom. For the formation energy, the calculation gives 283 meV/atom.

Cell lengths 9.374, 9.374, 9.374 Å; angles 90.00, 90.00, 90.00 degrees
Space group F-43m (No. 216)
Asymmetric unit:
Pm 0.000 0.000 0.000
Nd 0.250 0.250 0.750
Dy 0.125 0.125 0.375


# 8
Computed, not measured: a relaxed LiAc2AlCu6 crystal at the PBE-GGA level of DFT.

Output
For the formation energy, the calculation gives -86 meV/atom.

Cell lengths 6.291, 6.316, 6.650 Å; angles 62.17, 61.79, 60.15 degrees
Space group P-1 (No. 2)
Asymmetric unit:
Li 0.000 0.000 0.000
Ac 0.215 0.213 0.357
Al 0.500 0.500 0.500
Cu 0.245 0.646 0.862
Cu 0.247 0.246 0.857
Cu 0.350 0.752 0.142